Record 1
Below is crystalline RePdF2 at its relaxed geometry, with properties calculated at the GGA-PBE level.

a b c (Å): 6.039 6.039 6.039
angles (deg): 90.00 90.00 90.00
Space group Fm-3m (No. 225)
Inequivalent atoms, fractional coordinates:
Re1 0.000 0.000 0.000 [4 per cell]
Pd1 0.000 0.000 0.500 [4 per cell]
F1 0.250 0.250 0.250 [8 per cell]

Output
Volume: 13.77 A^3/atom
Distance to the lowest polymorph of the same formula: 1068 meV/atom
Uncorrected formation energy: 0.352 eV per atom

***

Record 2
Below is crystalline Re2PdF at its relaxed geometry, with properties calculated at the GGA-PBE level.

a b c (Å): 6.692 6.692 5.058
angles (deg): 90.00 90.00 90.00
Space group I-42d (No. 122)
Inequivalent atoms, fractional coordinates:
Re1 0.193 0.750 0.125 [8 per cell]
Pd1 0.000 0.000 0.500 [4 per cell]
F1 0.000 0.000 0.000 [4 per cell]

Output
Volume: 14.16 A^3/atom
Distance to the lowest polymorph of the same formula: 74 meV/atom
Uncorrected formation energy: 0.672 eV per atom

***

Record 3
Below is crystalline Re2SiPdF at its relaxed geometry, with properties calculated at the GGA-PBE level.

a b c (Å): 5.199 5.199 4.428
angles (deg): 90.00 90.00 90.00
Space group P4/mmm (No. 123)
Inequivalent atoms, fractional coordinates:
Re1 0.000 0.500 0.000 [2 per cell]
Si1 0.000 0.000 0.500 [1 per cell]
Pd1 0.000 0.000 0.000 [1 per cell]
F1 0.500 0.500 0.500 [1 per cell]

Output
Volume: 23.94 A^3/atom
Uncorrected formation energy: 1.861 eV per atom

***

Look up the volume of the second one.
14.16 A^3/atom